! YTaB2 | the Alexandria database | PBE-GGA | optimized geometry; values from VASP
&SYSTEM
  ibrav = 0, nat = 8, ntyp = 3
/
ATOMIC_SPECIES
Y 88.91 Y.upf
Ta 180.95 Ta.upf
B 10.81 B.upf
CELL_PARAMETERS angstrom
-2.595 2.595 5.720
2.595 -2.595 5.720
2.595 2.595 -5.720
ATOMIC_POSITIONS crystal
Y 0.000 0.000 0.000
Y 0.750 0.250 0.500
Ta 0.250 0.750 0.500
Ta 0.500 0.500 0.000
B 0.189 0.625 0.064
B 0.375 0.439 0.564
B 0.561 0.125 0.936
B 0.875 0.811 0.436
! * uncorrected energy: -7.348 eV per atom
! * symmetry: I-42d
! * total magnetic moment: 0.00 μB/cell